A geometry-optimized KTl2MoO4 structure, computed with PBE+U.

Electronic total energy ... -5.4080 eV per atom
N(E_F) ... 1.596 states/eV/f.u.

Cell: 5.6504 9.5266 7.1823 Å, 90.00 90.00 90.00°
Closest atoms and distances in Å follow each position.
Fractional positions:
K (0.9556, 0.0862, 0.5000)  4 O 2.72-2.82
Mo (0.0086, 0.1820, 0.0000)  4 O 1.79-1.81
Tl (0.4921, 0.4078, 0.2523)  2 O 2.67-2.88
O (0.3279, 0.1940, 0.0000)  1 Mo 1.81
O (0.8949, 0.2647, 0.2084)  1 Mo 1.81
Tl (0.9921, 0.5922, 0.2477)  2 O 2.67-2.88
O (0.3949, 0.7353, 0.2916)  1 Mo 1.81
O (0.9340, 0.9996, 0.0000)  1 Mo 1.79
Tl (0.9921, 0.5922, 0.7523)  2 O 2.67-2.88
O (0.4340, 0.0004, 0.5000)  1 Mo 1.79
O (0.8279, 0.8060, 0.5000)  1 Mo 1.81
K (0.4556, 0.9138, 0.0000)  4 O 2.72-2.82
O (0.3949, 0.7353, 0.7084)  1 Mo 1.81
O (0.8949, 0.2647, 0.7916)  1 Mo 1.81
Mo (0.5086, 0.8180, 0.5000)  4 O 1.79-1.81
Tl (0.4921, 0.4078, 0.7477)  2 O 2.67-2.88